This record from Alexandria describes crystalline CrCoSnRh2 at its relaxed geometry. The functional is PBE.

abc: 4.778 4.778 4.759
angles: 90.00 90.00 90.00
Positions (direct):
1 Cr 0.000 0.000 0.000
2 Co 0.500 0.500 0.000
3 Sn 0.000 0.000 0.500
4 Rh 0.000 0.500 0.500
5 Rh 0.500 0.000 0.500

Values from the calculation:
Space group ... P4/mmm (123)
E_form ... 2.000 eV/atom